# Sc2VRu3 | Alexandria via LeMat-Bulk | PBE | relaxed
data_Sc2VRu3
_symmetry_space_group_name_H-M 'C m m m'
_symmetry_Int_Tables_number 65
_symmetry_space_group_name_Hall '-C 2 2'
_cell_length_a 4.428
_cell_length_b 13.263
_cell_length_c 6.335
_cell_angle_alpha 90.00
_cell_angle_beta 90.00
_cell_angle_gamma 90.00
loop_
_atom_site_label
_atom_site_type_symbol
_atom_site_fract_x
_atom_site_fract_y
_atom_site_fract_z
Sc1 Sc 0.000 0.000 0.000
Sc2 Sc 0.000 0.000 0.500
Sc3 Sc 0.000 0.334 0.000
V1 V 0.000 0.333 0.500
Ru1 Ru 0.000 0.172 0.269
Ru2 Ru 0.000 0.500 0.263
# Formation energy = -3.09 eV per formula unit
# DOS(E_F) = 0.329 states/eV per atom
# Density = 7.928 g/cm³
# Uncorrected energy = -8.784 eV per atom